Arrangement 1

Density functional theory data (PBE-GGA) for a relaxed PmEr2Cu crystal.

a = 3.669 Å, b = 3.669 Å, c = 9.843 Å
α = 79.26°, β = 79.26°, γ = 60.00°
Sites, in units of the cell vectors:
1 Pm 0.501 0.501 0.497
2 Er 0.065 0.065 0.805
3 Er 0.268 0.268 0.196
4 Cu 0.666 0.666 0.003

Arrangement 2

Density functional theory data (PBE-GGA) for a relaxed PmEr2Cu crystal.

a = 3.486 Å, b = 3.486 Å, c = 8.686 Å
α = 90.00°, β = 90.00°, γ = 90.00°
Sites, in units of the cell vectors:
1 Pm 0.500 0.500 0.500
2 Cu 0.500 0.500 0.000
3 Er 0.000 0.000 0.807
4 Er 0.000 0.000 0.193

Arrangement 3

Density functional theory data (PBE-GGA) for a relaxed PmEr2Cu crystal.

a = 4.915 Å, b = 6.343 Å, c = 7.476 Å
α = 90.00°, β = 90.00°, γ = 112.87°
Sites, in units of the cell vectors:
1 Pm 0.953 0.906 0.250
2 Pm 0.047 0.094 0.750
3 Er 0.350 0.701 0.531
4 Er 0.650 0.299 0.469
5 Er 0.350 0.701 0.969
6 Er 0.650 0.299 0.031
7 Cu 0.798 0.597 0.750
8 Cu 0.202 0.403 0.250

Most stable pick: arrangement 2. Distance to second place: 40 meV/atom.

Arrangement 1

Density functional theory data (PBE-GGA) for a relaxed PmErCu4 crystal.

a = 5.287 Å, b = 5.287 Å, c = 5.287 Å
α = 60.00°, β = 60.00°, γ = 60.00°
Sites, in units of the cell vectors:
1 Pm 0.250 0.250 0.250
2 Cu 0.626 0.626 0.123
3 Cu 0.626 0.123 0.626
4 Cu 0.626 0.626 0.626
5 Cu 0.123 0.626 0.626
6 Er 0.000 0.000 0.000

Arrangement 2

Density functional theory data (PBE-GGA) for a relaxed PmErCu4 crystal.

a = 4.305 Å, b = 5.491 Å, c = 5.491 Å
α = 77.98°, β = 66.92°, γ = 66.92°
Sites, in units of the cell vectors:
1 Pm 0.545 0.455 0.455
2 Er 0.460 0.040 0.040
3 Cu 0.163 0.641 0.032
4 Cu 0.834 0.867 0.465
5 Cu 0.834 0.465 0.867
6 Cu 0.163 0.032 0.641

Most stable pick: arrangement 2. Distance to second place: 108 meV/atom.

Arrangement 1

Density functional theory data (PBE-GGA) for a relaxed Pm2ErCu2 crystal.

a = 4.749 Å, b = 7.195 Å, c = 7.195 Å
α = 90.00°, β = 90.00°, γ = 90.00°
Sites, in units of the cell vectors:
1 Pm 0.500 0.171 0.671
2 Pm 0.500 0.671 0.829
3 Pm 0.500 0.829 0.329
4 Pm 0.500 0.329 0.171
5 Er 0.000 0.000 0.000
6 Er 0.000 0.500 0.500
7 Cu 0.000 0.378 0.878
8 Cu 0.000 0.878 0.622
9 Cu 0.000 0.622 0.122
10 Cu 0.000 0.122 0.378

Arrangement 2

Density functional theory data (PBE-GGA) for a relaxed Pm2ErCu2 crystal.

a = 4.436 Å, b = 5.527 Å, c = 11.498 Å
α = 112.83°, β = 90.00°, γ = 90.00°
Sites, in units of the cell vectors:
1 Pm 0.250 0.774 0.878
2 Pm 0.750 0.226 0.122
3 Pm 0.250 0.294 0.547
4 Pm 0.750 0.706 0.453
5 Er 0.250 0.808 0.210
6 Er 0.750 0.192 0.790
7 Cu 0.250 0.882 0.646
8 Cu 0.750 0.118 0.354
9 Cu 0.250 0.360 0.974
10 Cu 0.750 0.640 0.026

Most stable pick: arrangement 1. Distance to second place: 57 meV/atom.

Arrangement 1

Density functional theory data (PBE-GGA) for a relaxed Pm2ErCu6 crystal.

a = 3.651 Å, b = 7.366 Å, c = 7.366 Å
α = 120.00°, β = 90.00°, γ = 90.00°
Sites, in units of the cell vectors:
1 Pm 0.000 0.333 0.667
2 Pm 0.000 0.667 0.333
3 Er 0.000 0.000 0.000
4 Cu 0.500 0.331 0.331
5 Cu 0.500 0.669 0.669
6 Cu 0.500 0.000 0.669
7 Cu 0.500 0.669 0.000
8 Cu 0.500 0.331 0.000
9 Cu 0.500 0.000 0.331

Arrangement 2

Density functional theory data (PBE-GGA) for a relaxed Pm2ErCu6 crystal.

a = 3.535 Å, b = 7.929 Å, c = 7.929 Å
α = 54.63°, β = 77.12°, γ = 77.12°
Sites, in units of the cell vectors:
1 Pm 0.356 0.144 0.144
2 Pm 0.644 0.856 0.856
3 Er 0.500 0.500 0.500
4 Cu 0.164 0.507 0.165
5 Cu 0.836 0.493 0.835
6 Cu 0.836 0.835 0.493
7 Cu 0.000 0.180 0.820
8 Cu 0.000 0.820 0.180
9 Cu 0.164 0.165 0.507

Most stable pick: arrangement 1. Distance to second place: 148 meV/atom.

Arrangement 1

Density functional theory data (PBE-GGA) for a relaxed Pr2ErCu crystal.

a = 3.535 Å, b = 3.535 Å, c = 11.326 Å
α = 81.02°, β = 81.02°, γ = 60.00°
Sites, in units of the cell vectors:
1 Pr 0.102 0.102 0.694
2 Pr 0.898 0.898 0.306
3 Cu 0.500 0.500 0.500
4 Er 0.000 0.000 0.000

Arrangement 2

Density functional theory data (PBE-GGA) for a relaxed Pr2ErCu crystal.

a = 3.657 Å, b = 3.657 Å, c = 8.600 Å
α = 90.00°, β = 90.00°, γ = 90.00°
Sites, in units of the cell vectors:
1 Pr 0.000 0.000 0.795
2 Pr 0.000 0.000 0.205
3 Cu 0.500 0.500 0.000
4 Er 0.500 0.500 0.500

Most stable pick: arrangement 2. Distance to second place: 302 meV/atom.

Arrangement 1

Density functional theory data (PBE-GGA) for a relaxed PrEr2Cu crystal.

a = 3.504 Å, b = 3.504 Å, c = 8.718 Å
α = 90.00°, β = 90.00°, γ = 90.00°
Sites, in units of the cell vectors:
1 Pr 0.500 0.500 0.500
2 Cu 0.500 0.500 0.000
3 Er 0.000 0.000 0.810
4 Er 0.000 0.000 0.190

Arrangement 2

Density functional theory data (PBE-GGA) for a relaxed PrEr2Cu crystal.

a = 3.643 Å, b = 3.643 Å, c = 10.054 Å
α = 79.56°, β = 79.56°, γ = 60.00°
Sites, in units of the cell vectors:
1 Pr 0.500 0.500 0.500
2 Cu 0.000 0.000 0.000
3 Er 0.268 0.268 0.195
4 Er 0.732 0.732 0.805

Arrangement 3

Density functional theory data (PBE-GGA) for a relaxed PrEr2Cu crystal.

a = 4.935 Å, b = 6.401 Å, c = 7.474 Å
α = 90.00°, β = 90.00°, γ = 112.79°
Sites, in units of the cell vectors:
1 Pr 0.952 0.904 0.250
2 Pr 0.048 0.096 0.750
3 Er 0.349 0.699 0.531
4 Er 0.651 0.301 0.469
5 Er 0.349 0.699 0.969
6 Er 0.651 0.301 0.031
7 Cu 0.798 0.597 0.750
8 Cu 0.202 0.403 0.250

Most stable pick: arrangement 1. Distance to second place: 41 meV/atom.